TaInAu2 | the Alexandria database | PBE | optimized geometry; total magnetic moment = 0.00 μB per formula unit; symmetry = Imm2; ΔH_f (0 K) = 0.10 eV/atom; DFT total energy = -5.1871 eV per atom
1.0
-1.4848 2.5538 5.0423
1.4848 -2.5538 5.0423
1.4848 2.5538 -5.0423
Ta In Au
1 1 2
Cartesian
0.0000 0.0000 0.0000 Ta
0.0000 2.5538 2.4606 In
1.4848 0.0000 2.4176 Au
0.0000 0.0000 4.9804 Au